No. 1
This record from the Alexandria database describes Ru2Pb5O12 after structural relaxation. The functional is GGA-PBE.

## Properties
Formation energy from raw total energies ... -22.03 kcal/mol of atoms

Structure (POSCAR):
```
Ru2Pb5O12
1.0
6.419 -2.955 0.000
6.419 2.955 0.000
-2.378 0.000 7.288
Ru Pb O
2 5 12
Direct
0.229 0.771 0.000 Ru
0.771 0.229 0.000 Ru
0.000 0.000 0.500 Pb
0.304 0.304 0.644 Pb
0.311 0.311 0.168 Pb
0.689 0.689 0.832 Pb
0.696 0.696 0.356 Pb
0.000 0.000 0.191 O
0.000 0.000 0.809 O
0.094 0.587 0.914 O
0.104 0.617 0.432 O
0.383 0.896 0.568 O
0.413 0.906 0.086 O
0.500 0.500 0.162 O
0.500 0.500 0.838 O
0.587 0.094 0.914 O
0.617 0.104 0.432 O
0.896 0.383 0.568 O
0.906 0.413 0.086 O
```



No. 2
This record from the Alexandria database describes Ag2Sb after structural relaxation. The functional is GGA-PBE.

## Properties
E above lowest polymorph ... 0.011 eV/atom
Formation energy from raw total energies ... 1.77 kcal/mol of atoms

Structure (POSCAR):
```
Ag2Sb
1.0
5.910 0.000 0.000
0.000 4.363 0.000
0.000 0.000 9.785
Ag Sb
8 4
Direct
0.116 0.250 0.241 Ag
0.132 0.250 0.923 Ag
0.368 0.750 0.423 Ag
0.384 0.750 0.741 Ag
0.616 0.250 0.259 Ag
0.632 0.250 0.577 Ag
0.868 0.750 0.077 Ag
0.884 0.750 0.759 Ag
0.133 0.250 0.607 Sb
0.367 0.750 0.107 Sb
0.633 0.250 0.893 Sb
0.867 0.750 0.393 Sb
```



No. 3
This record from the Alexandria database describes Tb3DyPt2 after structural relaxation. The functional is GGA-PBE.

## Properties
Formation energy ... -0.937 eV/atom

Structure (POSCAR):
```
Tb3DyPt2
1.0
4.785 0.000 0.000
0.000 8.848 0.000
0.000 0.000 7.183
Tb Dy Pt
6 2 4
Direct
0.000 0.083 0.000 Tb
0.000 0.333 0.364 Tb
0.000 0.667 0.864 Tb
0.000 0.917 0.500 Tb
0.500 0.168 0.652 Tb
0.500 0.832 0.152 Tb
0.500 0.417 0.017 Dy
0.500 0.583 0.517 Dy
0.000 0.342 0.768 Pt
0.000 0.658 0.268 Pt
0.500 0.159 0.249 Pt
0.500 0.841 0.749 Pt
```



No. 4
This record from the Alexandria database describes La8Hg4Ir3Rh after structural relaxation. The functional is GGA-PBE.

## Properties
Formation energy ... -0.644 eV/atom

Structure (POSCAR):
```
La8Hg4Ir3Rh
1.0
7.278 -4.191 0.000
7.278 4.191 0.000
-4.865 0.000 7.971
La Hg Ir Rh
8 4 3 1
Direct
0.232 0.734 0.699 La
0.233 0.233 0.699 La
0.266 0.266 0.301 La
0.266 0.768 0.301 La
0.734 0.232 0.699 La
0.734 0.734 0.699 La
0.767 0.767 0.301 La
0.768 0.266 0.301 La
0.000 0.000 0.000 Hg
0.000 0.500 0.000 Hg
0.500 0.000 0.000 Hg
0.500 0.500 0.000 Hg
0.000 0.000 0.500 Ir
0.000 0.500 0.500 Ir
0.500 0.000 0.500 Ir
0.500 0.500 0.500 Rh
```



No. 5
This record from the Alexandria database describes AcGe2Pd after structural relaxation. The functional is GGA-PBE.

## Properties
E above lowest polymorph ... 0.189 eV/atom
Formation energy ... -0.553 eV/atom

Structure (POSCAR):
```
AcGe2Pd
1.0
4.460 0.000 0.000
0.000 3.200 3.632
0.000 -3.200 3.632
Ac Ge Pd
1 2 1
Direct
0.000 0.000 0.000 Ac
0.500 0.509 0.883 Ge
0.500 0.883 0.509 Ge
0.500 0.388 0.388 Pd
```



No. 6
This record from the Alexandria database describes In2Sn2Pb5 after structural relaxation. The functional is GGA-PBE.

## Properties
E above lowest polymorph ... 0.031 eV/atom
Formation energy ... 0.092 eV/atom

Structure (POSCAR):
```
In2Sn2Pb5
1.0
8.243 -3.828 0.000
8.243 3.828 0.000
0.000 0.000 8.867
In Sn Pb
4 4 10
Direct
0.125 0.875 0.860 In
0.375 0.625 0.360 In
0.625 0.375 0.640 In
0.875 0.125 0.140 In
0.202 0.202 0.500 Sn
0.298 0.298 0.000 Sn
0.702 0.702 0.000 Sn
0.798 0.798 0.500 Sn
0.000 0.000 0.500 Pb
0.009 0.700 0.174 Pb
0.200 0.509 0.674 Pb
0.300 0.991 0.174 Pb
0.491 0.800 0.674 Pb
0.500 0.500 0.000 Pb
0.509 0.200 0.326 Pb
0.700 0.009 0.826 Pb
0.800 0.491 0.326 Pb
0.991 0.300 0.826 Pb
```



No. 7
This record from the Alexandria database describes FeCu2Si2 after structural relaxation. The functional is GGA-PBE.

## Properties
Formation energy from raw total energies ... 1.61 kcal/mol of atoms

Structure (POSCAR):
```
FeCu2Si2
1.0
6.025 0.000 0.000
0.000 6.025 0.000
0.000 0.000 3.474
Fe Cu Si
2 4 4
Direct
0.000 0.000 0.000 Fe
0.500 0.500 0.000 Fe
0.153 0.347 0.500 Cu
0.347 0.847 0.500 Cu
0.653 0.153 0.500 Cu
0.847 0.653 0.500 Cu
0.149 0.649 0.000 Si
0.351 0.149 0.000 Si
0.649 0.851 0.000 Si
0.851 0.351 0.000 Si
```



No. 8
This record from the Alexandria database describes Ac2Zn6Si3 after structural relaxation. The functional is GGA-PBE.

## Properties
Formation energy from raw total energies ... -8.35 kcal/mol of atoms

Structure (POSCAR):
```
Ac2Zn6Si3
1.0
7.753 0.000 0.000
-3.876 6.714 0.000
0.000 0.000 4.218
Ac Zn Si
2 6 3
Direct
0.333 0.667 0.000 Ac
0.667 0.333 0.000 Ac
0.000 0.188 0.000 Zn
0.000 0.703 0.500 Zn
0.188 0.000 0.000 Zn
0.297 0.297 0.500 Zn
0.703 0.000 0.500 Zn
0.812 0.812 0.000 Zn
0.000 0.367 0.500 Si
0.367 0.000 0.500 Si
0.633 0.633 0.500 Si
```



| no. | density of states at the Fermi level (states/eV per atom) |
| --- | --- |
| 1 | 0.375 |
| 2 | 0.276 |
| 3 | 1.026 |
| 4 | 0.952 |
| 5 | 0.331 |
| 6 | 0.429 |
| 7 | 0.384 |
| 8 | 0.115 |